VASP calculation (PBE) on a relaxed Nb14PdRu crystal.

The structure in POSCAR format:
```
Nb14PdRu
1.0
-1.8105 -3.7018 -3.9823
5.6640 -0.5309 0.6903
-1.3881 -6.3334 6.5184
Nb Ru Pd
14 1 1
Cartesian
0.8965 -8.2524 1.8183
1.2038 -3.8285 3.0203
-0.2999 -3.1065 0.2400
2.5199 -3.3280 0.6063
1.8980 -0.6617 -0.2388
3.8247 -2.7780 -1.8847
1.8390 -6.4349 3.8039
0.9925 -2.5127 -2.2300
1.5734 -5.1641 -1.3603
3.1304 -5.9448 1.3744
-1.9235 -8.0309 1.4518
-0.9768 -6.1948 3.4185
4.7299 -0.9272 0.1063
-1.2426 -4.9242 -1.7457
0.2983 -5.6794 1.0292
4.0359 -4.0939 3.3656
```

Calculated values
**Calculated formation energy**: -0.106 eV/atom
**V**: 284.4 Å³/f.u.
**Space group**: Cmmm
**Total magnetic moment**: 0.0 μB/cell
**Uncorrected energy**: -157.15 eV per cell

***

VASP calculation (PBE) on a relaxed NbPdRu crystal.

The structure in POSCAR format:
```
NbPdRu
1.0
5.5651 0.0000 -0.0017
0.0000 3.9767 0.0000
-2.8170 0.0000 8.5113
Pd Ru Nb
4 4 4
Cartesian
1.3987 1.9884 0.5288
1.2880 1.9884 6.2604
-0.0099 0.0000 4.7844
2.6965 0.0000 2.0048
3.9641 1.9884 3.5079
-1.5246 1.9884 6.2630
2.5556 0.0000 7.7635
-0.1161 0.0000 2.0074
4.2558 1.9884 0.7465
-0.1925 0.0000 7.5481
2.8472 0.0000 5.0022
1.2160 1.9884 3.2925
```

Calculated values
**Calculated formation energy**: -0.235 eV/atom
**V**: 47.1 Å³/f.u.
**Space group**: Cm
**Total magnetic moment**: 0.0 μB/cell
**Uncorrected energy**: -100.98 eV per cell
**Excess energy over the best structure of this formula in the dataset**: 29.9 meV/atom